(1)
## V5Co2H12 (PBE-GGA)

Data for a relaxed structure of V5Co2H12.

* Fermi-level density of states: 10.09 states/eV per cell
* E: -101.3 eV for the cell shown
* size of the total moment: 0.986 μB/f.u.

a = 5.3671 Å, b = 5.3671 Å, c = 5.4946 Å
α = 102.23°, β = 102.23°, γ = 54.42°
With the nearest neighbours (Å) after each atom.
Fractional positions:
1 V 0.0000 0.0000 0.0000  6 H 1.87
2 V 0.2892 0.2892 0.6690  7 H 1.76-1.91
3 V 0.3063 0.3063 0.1331  7 H 1.80-1.89
4 V 0.6937 0.6937 0.8669  7 H 1.80-1.89
5 V 0.7108 0.7108 0.3310  7 H 1.76-1.91
6 Co 0.2487 0.7513 0.5000  6 H 1.63-1.71
7 Co 0.7513 0.2487 0.5000  6 H 1.63-1.71
8 H 0.0552 0.0552 0.3498  2 Co 1.63
9 H 0.0905 0.6018 0.9190  4 V 1.82-1.87
10 H 0.1105 0.5334 0.4067  1 Co 1.67, 3 V 1.76-1.86
11 H 0.3982 0.9095 0.0810  4 V 1.82-1.87
12 H 0.4666 0.8895 0.5933  1 Co 1.67, 3 V 1.76-1.86
13 H 0.4941 0.4941 0.7120  2 Co 1.71, 1 V 1.89
14 H 0.5059 0.5059 0.2880  2 Co 1.71, 1 V 1.89
15 H 0.5334 0.1105 0.4067  1 Co 1.67, 3 V 1.76-1.86
16 H 0.6018 0.0905 0.9190  4 V 1.82-1.87
17 H 0.8895 0.4666 0.5933  1 Co 1.67, 3 V 1.76-1.86
18 H 0.9095 0.3982 0.0810  4 V 1.82-1.87
19 H 0.9448 0.9448 0.6502  2 Co 1.63


(2)
## V2Co2H (PBE-GGA)

Data for a relaxed structure of V2Co2H.

* Fermi-level density of states: 9.14 states/eV per cell
* E: -71.3 eV for the cell shown
* size of the total moment: 0.000 μB/f.u.

a = 3.3844 Å, b = 3.3844 Å, c = 9.1807 Å
α = 100.35°, β = 100.35°, γ = 90.07°
With the nearest neighbours (Å) after each atom.
Fractional positions:
1 V 0.0686 0.3159 0.1395  2 H 1.95-1.96
2 V 0.3159 0.0686 0.6395  2 H 1.95-1.96
3 V 0.6841 0.9314 0.3605  2 H 1.95-1.96
4 V 0.9314 0.6841 0.8605  2 H 1.95-1.96
5 Co 0.2052 0.4559 0.4081  2 H 2.17-2.23, 2 Co 2.35, 3 V 2.38-2.43
6 Co 0.4559 0.2052 0.9081  2 H 2.17-2.23, 2 Co 2.35, 3 V 2.38-2.43
7 Co 0.5441 0.7948 0.0919  2 H 2.17-2.23, 2 Co 2.35, 3 V 2.38-2.43
8 Co 0.7948 0.5441 0.5919  2 H 2.17-2.23, 2 Co 2.35, 3 V 2.38-2.43
9 H 0.1330 0.8670 0.2500  4 V 1.95-1.96, 2 Co 2.17
10 H 0.8670 0.1330 0.7500  4 V 1.95-1.96, 2 Co 2.17


(3)
## V2CoH (PBE-GGA)

Data for a relaxed structure of V2CoH.

* Fermi-level density of states: 6.62 states/eV per cell
* size of the total moment: 0.000 μB/f.u.
* excess energy over the best structure of this formula in the dataset: 54.2 kJ per mole of atoms

a = 5.9422 Å, b = 5.9422 Å, c = 5.9422 Å
α = 138.06°, β = 138.06°, γ = 60.82°
With the nearest neighbours (Å) after each atom.
Fractional positions:
1 V 0.0107 0.6250 0.8857  2 H 1.76
2 V 0.3750 0.2607 0.3857  2 H 1.76
3 V 0.7393 0.1250 0.1143  2 H 1.76
4 V 0.8750 0.9893 0.6143  2 H 1.76
5 Co 0.2500 0.7500 0.5000  4 V 2.27
6 Co 0.5000 0.5000 0.0000  4 V 2.27
7 H 0.0000 0.0000 0.0000  4 V 1.76
8 H 0.7500 0.2500 0.5000  4 V 1.76


(4)
## V4CoH2 (PBE-GGA)

Data for a relaxed structure of V4CoH2.

* Fermi-level density of states: 14.02 states/eV per cell
* E: -100.9 eV for the cell shown
* size of the total moment: 0.000 μB/f.u.

a = 4.5372 Å, b = 4.9856 Å, c = 6.9664 Å
α = 106.40°, β = 104.15°, γ = 103.13°
With the nearest neighbours (Å) after each atom.
Fractional positions:
1 V 0.0000 0.0000 0.0000  2 H 1.87-1.95
2 V 0.0124 0.5122 0.0252  2 H 1.87-1.95
3 V 0.2237 0.9886 0.4050  1 H 1.78
4 V 0.2599 0.5025 0.3993  2 H 1.78-1.92
5 V 0.4399 0.4667 0.8367  2 H 1.83-1.92
6 V 0.6155 0.1413 0.1882  2 H 1.83-1.92
7 V 0.8319 0.0957 0.6201  1 H 1.78
8 V 0.8730 0.6154 0.6254  2 H 1.78-1.92
9 Co 0.4515 0.9760 0.7815  1 H 1.79
10 Co 0.6830 0.7055 0.2427  1 H 1.79
11 H 0.1273 0.3588 0.5815  4 V 1.78-1.92
12 H 0.2377 0.7642 0.9024  1 Co 1.79, 3 V 1.87-1.95
13 H 0.3481 0.3740 0.1225  1 Co 1.79, 3 V 1.87-1.95
14 H 0.5588 0.2892 0.4436  4 V 1.78-1.92


(5)
## VCoH2 (PBE-GGA)

Data for a relaxed structure of VCoH2.

* Fermi-level density of states: 4.79 states/eV per cell
* size of the total moment: 1.229 μB/f.u.
* excess energy over the best structure of this formula in the dataset: 9.9 kJ per mole of atoms

a = 4.8261 Å, b = 4.8261 Å, c = 4.8261 Å
α = 132.40°, β = 132.40°, γ = 69.60°
With the nearest neighbours (Å) after each atom.
Fractional positions:
1 V 0.0000 0.0000 0.0000  4 H 1.78
2 V 0.7500 0.2500 0.5000  4 H 1.78
3 Co 0.2500 0.7500 0.5000  4 H 1.62
4 Co 0.5000 0.5000 0.0000  4 H 1.62
5 H 0.1592 0.6250 0.0342  2 Co 1.62, 2 V 1.78
6 H 0.3750 0.4092 0.5342  2 Co 1.62, 2 V 1.78
7 H 0.5908 0.1250 0.9658  2 Co 1.62, 2 V 1.78
8 H 0.8750 0.8408 0.4658  2 Co 1.62, 2 V 1.78


(6)
## V4CoH5 (PBE-GGA)

Data for a relaxed structure of V4CoH5.

* Fermi-level density of states: 7.42 states/eV per cell
* size of the total moment: 0.000 μB/f.u.
* excess energy over the best structure of this formula in the dataset: 0.0 kJ per mole of atoms

a = 4.7738 Å, b = 4.7738 Å, c = 4.7738 Å
α = 99.11°, β = 99.11°, γ = 133.11°
With the nearest neighbours (Å) after each atom.
Fractional positions:
1 V 0.1105 0.7044 0.8149  6 H 1.90-1.96
2 V 0.2956 0.1105 0.4060  6 H 1.90-1.96
3 V 0.7044 0.8895 0.5940  6 H 1.90-1.96
4 V 0.8895 0.2956 0.1851  6 H 1.90-1.96
5 Co 0.5000 0.5000 0.0000  6 H 1.89-2.07
6 H 0.0021 0.0021 0.0000  2 Co 1.89-1.91, 4 V 1.95
7 H 0.1827 0.3955 0.5782  5 V 1.90-1.96, 1 Co 2.07
8 H 0.3955 0.8173 0.2129  5 V 1.90-1.96, 1 Co 2.07
9 H 0.6045 0.1827 0.7871  5 V 1.90-1.96, 1 Co 2.07
10 H 0.8173 0.6045 0.4218  5 V 1.90-1.96, 1 Co 2.07


(7)
## V4CoH5 (PBE-GGA)

Data for a relaxed structure of V4CoH5.

* Fermi-level density of states: 6.07 states/eV per cell
* size of the total moment: 0.000 μB/f.u.
* excess energy over the best structure of this formula in the dataset: 25.7 kJ per mole of atoms

a = 6.5743 Å, b = 6.5743 Å, c = 5.8167 Å
α = 112.99°, β = 112.99°, γ = 22.77°
With the nearest neighbours (Å) after each atom.
Fractional positions:
1 V 0.0743 0.0743 0.2221  3 H 1.81-1.97
2 V 0.3498 0.3498 0.0824  3 H 1.85-1.98
3 V 0.6502 0.6502 0.9176  3 H 1.85-1.98
4 V 0.9257 0.9257 0.7779  3 H 1.81-1.97
5 Co 0.5000 0.5000 0.5000  4 H 1.74
6 H 0.0977 0.0977 0.6094  2 Co 1.74
7 H 0.2133 0.2133 0.1593  4 V 1.85-1.98
8 H 0.5000 0.5000 0.0000  4 V 1.81
9 H 0.7867 0.7867 0.8407  4 V 1.85-1.98
10 H 0.9023 0.9023 0.3906  2 Co 1.74


(8)
## V5Co2H4 (PBE-GGA)

Data for a relaxed structure of V5Co2H4.

* Fermi-level density of states: 8.90 states/eV per cell
* E: -71.7 eV for the cell shown
* size of the total moment: 0.001 μB/f.u.

a = 8.1176 Å, b = 8.1176 Å, c = 5.2307 Å
α = 105.58°, β = 105.58°, γ = 17.96°
With the nearest neighbours (Å) after each atom.
Fractional positions:
1 V 0.0000 0.0000 0.0000  4 H 1.95
2 V 0.3202 0.3202 0.6979  3 H 1.84-1.92
3 V 0.3255 0.3255 0.1690  3 H 1.92-1.99
4 V 0.6745 0.6745 0.8310  3 H 1.92-1.99
5 V 0.6798 0.6798 0.3021  3 H 1.84-1.92
6 Co 0.4412 0.4412 0.5736  2 H 1.78-1.98
7 Co 0.5588 0.5588 0.4264  2 H 1.78-1.98
8 H 0.2013 0.2013 0.5885  5 V 1.84-1.92
9 H 0.4523 0.4523 0.2067  2 Co 1.78-1.98, 3 V 1.95-1.99
10 H 0.5477 0.5477 0.7933  2 Co 1.78-1.98, 3 V 1.95-1.99
11 H 0.7987 0.7987 0.4115  5 V 1.84-1.92